(1)
Entry from the Alexandria database: a relaxed structure of Tm2AgPd3 (PBE).

As for the formation energy: -3.05 eV/f.u. The energy comes out at -121.70 eV per cell. The value obtained for the magnetic moment is 0.00 μB per formula unit.

It has space group Ibam (No. 72), with a = 7.467 Å, b = 13.224 Å, c = 5.542 Å, α = 90.00°, β = 90.00° and γ = 90.00°. Symmetry generates all atoms from Tm at (0.175, 0.157, 0.000), Ag at (0.000, 0.500, 0.000), Pd at (0.000, 0.000, 0.250) and Pd at (0.000, 0.313, 0.250).

=====

(2)
Entry from the Alexandria database: a relaxed structure of TmAg2Pd6 (PBE).

As for the formation energy: -2.47 eV/f.u. The energy comes out at -175.21 eV per cell. The value obtained for the magnetic moment is 0.00 μB per formula unit.

It has space group C2/c (No. 15), with a = 9.955 Å, b = 11.865 Å, c = 5.431 Å, α = 90.00°, β = 103.51° and γ = 90.00°. Symmetry generates all atoms from Tm at (0.000, 0.104, 0.250), Ag at (0.142, 0.482, 0.370), Pd at (0.040, 0.308, 0.011), Pd at (0.141, 0.106, 0.812) and Pd at (0.238, 0.309, 0.707).

=====

(3)
Entry from the Alexandria database: a relaxed structure of TmAg3Pd4 (PBE).

As for the formation energy: -3.30 eV/f.u. The energy comes out at -74.19 eV per cell. The value obtained for the magnetic moment is 0.00 μB per formula unit.

It has space group C2/m (No. 12), with a = 15.798 Å, b = 4.261 Å, c = 4.261 Å, α = 90.00°, β = 105.57° and γ = 90.00°. Symmetry generates all atoms from Tm at (0.000, 0.000, 0.000), Ag at (0.000, 0.500, 0.500), Ag at (0.249, 0.500, 0.749), Pd at (0.125, 0.000, 0.625) and Pd at (0.125, 0.500, 0.125).